Record 1
Material: AsWAu3
Method: DFT, PBE-GGA
State: optimized geometry

Calculated formation energy, kJ per mole of atoms: 141.5
Relative energy among the computed polymorphs, meV per atom: 22.0
Total magnetization, μB per cell: 0.0

a = 4.752 Å, b = 4.752 Å, c = 4.752 Å
α = 90.00°, β = 90.00°, γ = 90.00°
Space group Pm-3m (No. 221)
Inequivalent atoms, fractional coordinates:
As 0.000 0.000 0.000
W 0.500 0.500 0.500
Au 0.000 0.000 0.500

***

Record 2
Material: KRbP2S
Method: DFT, PBE-GGA
State: optimized geometry

Relative energy among the computed polymorphs, meV per atom: 101.9
Energy relative to the elements, uncorrected, meV/atom: 994.1
Total magnetization, μB per cell: 6.0

a = 6.387 Å, b = 6.387 Å, c = 6.042 Å
α = 90.00°, β = 90.00°, γ = 90.00°
Space group P4/mmm (No. 123)
Inequivalent atoms, fractional coordinates:
K 0.000 0.000 0.000
Rb 0.500 0.500 0.500
P 0.000 0.500 0.500
S 0.500 0.500 0.000

***

Record 3
Material: LiYBr2
Method: DFT, PBE-GGA
State: optimized geometry

Relative energy among the computed polymorphs, meV per atom: 108.7
Energy relative to the elements, uncorrected, meV/atom: -1109.4
Total magnetization, μB per cell: 0.0

a = 3.9528 Å, b = 3.9528 Å, c = 26.7339 Å
α = 90.00°, β = 90.00°, γ = 120.00°
Space group R3m (No. 160, hexagonal axes)
Inequivalent atoms, fractional coordinates:
Li 0.0000 0.0000 0.0000
Y 0.0000 0.0000 0.7550
Br 0.0000 0.0000 0.3080
Br 0.0000 0.0000 0.4923

***

Record 4
Material: CaLa2PrIn4
Method: DFT, PBE-GGA
State: optimized geometry

Calculated formation energy, kJ per mole of atoms: -48.6
Total magnetization, μB per cell: 0.0

a = 5.5273 Å, b = 5.5273 Å, c = 27.3572 Å
α = 90.00°, β = 90.00°, γ = 120.00°
Space group R-3m (No. 166, hexagonal axes)
Inequivalent atoms, fractional coordinates:
Ca 0.0000 0.0000 0.0000
La 0.0000 0.0000 0.2539
Pr 0.0000 0.0000 0.5000
In 0.0000 0.0000 0.1259
In 0.0000 0.0000 0.3761

***

Record 5
Material: RbMg3Pb9
Method: DFT, PBE-GGA
State: optimized geometry

Calculated formation energy, kJ per mole of atoms: -5.2
Total magnetization, μB per cell: 0.0

a = 6.270 Å, b = 16.582 Å, c = 8.223 Å
α = 90.00°, β = 109.15°, γ = 90.00°
Space group C2/m (No. 12)
Inequivalent atoms, fractional coordinates:
Rb 0.000 0.000 0.000
Mg 0.000 0.500 0.500
Mg 0.250 0.250 0.000
Pb 0.000 0.000 0.500
Pb 0.097 0.387 0.216
Pb 0.161 0.180 0.346

***

Record 6
Material: Be2FeTe
Method: DFT, PBE-GGA
State: optimized geometry

Energy relative to the elements, uncorrected, meV/atom: 355.6
Total magnetization, μB per cell: 1.1

a = 3.206 Å, b = 3.206 Å, c = 5.039 Å
α = 90.00°, β = 90.00°, γ = 90.00°
Space group P4/mmm (No. 123)
Inequivalent atoms, fractional coordinates:
Be 0.000 0.000 0.202
Fe 0.500 0.500 0.000
Te 0.500 0.500 0.500

***

Record 7
Material: KBaAs
Method: DFT, PBE-GGA
State: optimized geometry

Calculated formation energy, kJ per mole of atoms: -57.9
Total magnetization, μB per cell: 0.0

a = 5.1547 Å, b = 5.1547 Å, c = 5.8897 Å
α = 90.00°, β = 90.00°, γ = 120.00°
Space group P3m1 (No. 156)
Inequivalent atoms, fractional coordinates:
K 0.0000 0.0000 0.0000
Ba 0.3333 0.6667 0.4709
As 0.6667 0.3333 0.2648

***

Record 8
Material: BeTlS3
Method: DFT, PBE-GGA
State: optimized geometry

Relative energy among the computed polymorphs, meV per atom: 0.0
Energy relative to the elements, uncorrected, meV/atom: 198.8
Total magnetization, μB per cell: 0.0

a = 4.510 Å, b = 4.510 Å, c = 4.510 Å
α = 90.00°, β = 90.00°, γ = 90.00°
Space group Pm-3m (No. 221)
Inequivalent atoms, fractional coordinates:
Be 0.000 0.000 0.000
Tl 0.500 0.500 0.500
S 0.000 0.000 0.500

***

Record 9
Material: Tl4V
Method: DFT, PBE-GGA
State: optimized geometry

Calculated formation energy, kJ per mole of atoms: 37.4
Total magnetization, μB per cell: 2.6

a = 5.423 Å, b = 5.423 Å, c = 5.423 Å
α = 90.00°, β = 90.00°, γ = 90.00°
Space group Pm-3m (No. 221)
Inequivalent atoms, fractional coordinates:
Tl 0.000 0.000 0.000
Tl 0.000 0.500 0.500
V 0.500 0.500 0.500

***

no.,calculated volume (Å³ per cell),VASP energy (eV per atom)
1,107,-4.02
2,246,-2.41
3,362,-4.04
4,724,-3.95
5,808,-3.06
6,52,-4.41
7,136,-3.16
8,92,-3.50
9,159,-3.33